(1)
Computed, not measured: a relaxed structure of FeTc2Ni at the PBE level of DFT. Values from VASP.

Cell and atoms, written as Quantum ESPRESSO input:
```
&SYSTEM
  ibrav = 0, nat = 4, ntyp = 3
/
ATOMIC_SPECIES
Fe 55.84 Fe.upf
Tc 98.00 Tc.upf
Ni 58.69 Ni.upf
ATOMIC_POSITIONS crystal
Fe 0.0000 0.0000 0.0000
Tc 0.0000 0.0000 0.4770
Tc 0.5000 0.5000 0.7531
Ni 0.5000 0.5000 0.2295
CELL_PARAMETERS angstrom
2.6282 0.0000 0.0000
0.0000 2.6282 0.0000
0.0000 0.0000 7.4960
```

Output
Formation energy from the elements ... 0.082 eV per atom
Magnetization ... 0.5614 μB/atom
Calculated volume ... 51.8 Å³/cell
DFT total energy ... -34.65 eV for the cell shown
Relative energy among the computed polymorphs ... 0.1034 eV per atom

=====

(2)
Computed, not measured: a relaxed structure of Pt5Pb3 at the PBE level of DFT. Values from VASP.

Cell and atoms, written as Quantum ESPRESSO input:
```
&SYSTEM
  ibrav = 0, nat = 8, ntyp = 2
/
ATOMIC_SPECIES
Pt 195.08 Pt.upf
Pb 207.20 Pb.upf
ATOMIC_POSITIONS crystal
Pt 0.0000 0.0000 0.0000
Pt 0.0000 0.5000 0.0000
Pt 0.2931 0.2931 0.5000
Pt 0.5000 0.0000 0.0000
Pt 0.7069 0.7069 0.5000
Pb 0.2080 0.7920 0.5000
Pb 0.5000 0.5000 0.0000
Pb 0.7920 0.2080 0.5000
CELL_PARAMETERS angstrom
3.6872 -4.4322 0.0000
3.6872 4.4322 0.0000
0.0000 0.0000 4.7549
```

Output
Formation energy from the elements ... 0.031 eV per atom
Magnetization ... 0.0000 μB/atom
Calculated volume ... 155.4 Å³/cell
DFT total energy ... -41.08 eV for the cell shown
Relative energy among the computed polymorphs ... 0.1111 eV per atom

=====

(3)
Computed, not measured: a relaxed structure of ScBeAs2 at the PBE level of DFT. Values from VASP.

Cell and atoms, written as Quantum ESPRESSO input:
```
&SYSTEM
  ibrav = 0, nat = 4, ntyp = 3
/
ATOMIC_SPECIES
Sc 44.96 Sc.upf
Be 9.01 Be.upf
As 74.92 As.upf
ATOMIC_POSITIONS crystal
Sc 0.0000 0.0000 0.0000
Be 0.5000 0.5000 0.5000
As 0.2047 0.2047 0.7034
As 0.7953 0.7953 0.2966
CELL_PARAMETERS angstrom
4.4708 -1.8229 0.0000
4.4708 1.8229 0.0000
-3.0315 0.0000 4.2612
```

Output
Formation energy from the elements ... -0.299 eV per atom
Magnetization ... 0.0000 μB/atom
Calculated volume ... 69.5 Å³/cell
DFT total energy ... -20.55 eV for the cell shown

=====

(4)
Computed, not measured: a relaxed structure of EuAu2 at the PBE level of DFT. Values from VASP.

Cell and atoms, written as Quantum ESPRESSO input:
```
&SYSTEM
  ibrav = 0, nat = 6, ntyp = 2
/
ATOMIC_SPECIES
Eu 151.96 Eu.upf
Au 196.97 Au.upf
ATOMIC_POSITIONS crystal
Eu 0.2847 0.0347 0.2500
Eu 0.7153 0.9653 0.7500
Au 0.1250 0.6630 0.4620
Au 0.2990 0.3370 0.9620
Au 0.7010 0.6630 0.0380
Au 0.8750 0.3370 0.5380
CELL_PARAMETERS angstrom
-2.3713 3.6601 4.1691
2.3713 -3.6601 4.1691
2.3713 3.6601 -4.1691
```

Output
Formation energy from the elements ... -0.752 eV per atom
Magnetization ... 2.3406 μB/atom
Calculated volume ... 144.7 Å³/cell
DFT total energy ... -38.17 eV for the cell shown

=====

(5)
Computed, not measured: a relaxed structure of Tm2ZrTl3S6 at the PBE level of DFT. Values from VASP.

Cell and atoms, written as Quantum ESPRESSO input:
```
&SYSTEM
  ibrav = 0, nat = 12, ntyp = 4
/
ATOMIC_SPECIES
Tm 168.93 Tm.upf
Zr 91.22 Zr.upf
Tl 204.38 Tl.upf
S 32.06 S.upf
ATOMIC_POSITIONS crystal
Tm 0.1667 0.8333 0.0000
Tm 0.8333 0.1667 0.0000
Zr 0.5000 0.5000 0.0000
Tl 0.0000 0.0000 0.5000
Tl 0.3337 0.6663 0.5000
Tl 0.6663 0.3337 0.5000
S 0.1161 0.4376 0.8167
S 0.2410 0.2410 0.1836
S 0.4376 0.1161 0.8167
S 0.5624 0.8839 0.1833
S 0.7590 0.7590 0.8164
S 0.8839 0.5624 0.1833
CELL_PARAMETERS angstrom
3.3270 -5.7670 0.0000
3.3270 5.7670 0.0000
-2.2692 0.0000 8.0535
```

Output
Uncorrected formation energy ... -1.340 eV/atom
Magnetization ... 0.0000 μB/atom
Calculated volume ... 309.0 Å³/cell
DFT total energy ... -65.44 eV for the cell shown

=====

(6)
Computed, not measured: a relaxed structure of AcNdPt2 at the PBE level of DFT. Values from VASP.

Cell and atoms, written as Quantum ESPRESSO input:
```
&SYSTEM
  ibrav = 0, nat = 4, ntyp = 3
/
ATOMIC_SPECIES
Ac 227.00 Ac.upf
Nd 144.24 Nd.upf
Pt 195.08 Pt.upf
ATOMIC_POSITIONS crystal
Ac 0.0000 0.0000 0.0000
Nd 0.0000 0.0000 0.5000
Pt 0.5000 0.5000 0.2702
Pt 0.5000 0.5000 0.7298
CELL_PARAMETERS angstrom
3.6999 0.0000 0.0000
0.0000 3.6999 0.0000
0.0000 0.0000 7.3854
```

Output
Formation energy from the elements ... -1.021 eV per atom
Magnetization ... 0.0000 μB/atom
Calculated volume ... 101.1 Å³/cell
DFT total energy ... -25.04 eV for the cell shown
Relative energy among the computed polymorphs ... 0.1243 eV per atom

=====

(7)
Computed, not measured: a relaxed structure of Tc2NiRh at the PBE level of DFT. Values from VASP.

Cell and atoms, written as Quantum ESPRESSO input:
```
&SYSTEM
  ibrav = 0, nat = 4, ntyp = 3
/
ATOMIC_SPECIES
Tc 98.00 Tc.upf
Ni 58.69 Ni.upf
Rh 102.91 Rh.upf
ATOMIC_POSITIONS crystal
Tc 0.0000 0.5000 0.0000
Tc 0.5000 0.0000 0.0000
Ni 0.0000 0.0000 0.5000
Rh 0.5000 0.5000 0.5000
CELL_PARAMETERS angstrom
2.6196 -3.9095 0.0000
2.6196 3.9095 0.0000
0.0000 0.0000 2.6552
```

Output
Formation energy from the elements ... 0.016 eV per atom
Magnetization ... 0.0010 μB/atom
Calculated volume ... 54.4 Å³/cell
DFT total energy ... -33.80 eV for the cell shown
Relative energy among the computed polymorphs ... 0.1019 eV per atom

=====

(8)
Computed, not measured: a relaxed structure of Co2SiIr at the PBE level of DFT. Values from VASP.

Cell and atoms, written as Quantum ESPRESSO input:
```
&SYSTEM
  ibrav = 0, nat = 4, ntyp = 3
/
ATOMIC_SPECIES
Co 58.93 Co.upf
Si 28.09 Si.upf
Ir 192.22 Ir.upf
ATOMIC_POSITIONS crystal
Co 0.0000 0.0000 0.0000
Co 0.5000 0.4021 0.4021
Si 0.0000 0.2630 0.2630
Ir 0.5000 0.6610 0.6610
CELL_PARAMETERS angstrom
3.7255 0.0000 0.0000
0.0000 1.3540 4.8322
0.0000 -1.3540 4.8322
```

Output
Uncorrected formation energy ... -0.235 eV/atom
Magnetization ... 0.6933 μB/atom
Calculated volume ... 48.7 Å³/cell
DFT total energy ... -29.44 eV for the cell shown

=====

(9)
Computed, not measured: a relaxed structure of Sm8Dy5Er at the PBE level of DFT. Values from VASP.

Cell and atoms, written as Quantum ESPRESSO input:
```
&SYSTEM
  ibrav = 0, nat = 14, ntyp = 3
/
ATOMIC_SPECIES
Sm 150.36 Sm.upf
Dy 162.50 Dy.upf
Er 167.26 Er.upf
ATOMIC_POSITIONS crystal
Sm 0.0646 0.0646 0.2833
Sm 0.1203 0.5694 0.9540
Sm 0.2805 0.1226 0.7712
Sm 0.4306 0.8797 0.0460
Sm 0.4879 0.3797 0.7108
Sm 0.6203 0.5121 0.2892
Sm 0.8774 0.7195 0.2288
Sm 0.9354 0.9354 0.7167
Dy 0.0995 0.5451 0.5375
Dy 0.2750 0.3267 0.2325
Dy 0.4549 0.9005 0.4625
Dy 0.6733 0.7250 0.7675
Dy 0.7755 0.2245 0.5000
Er 0.7768 0.2232 0.0000
CELL_PARAMETERS angstrom
6.4239 -5.6111 0.0000
6.4239 5.6111 0.0000
-6.2274 0.0000 6.5225
```

Output
Formation energy from the elements ... 0.177 eV per atom
Magnetization ... 0.0000 μB/atom
Calculated volume ... 470.2 Å³/cell
DFT total energy ... -62.85 eV for the cell shown

=====

Question: What is the calculated volume in the first record?
Answer: 51.8 Å³/cell

=====

Question: Which value of calculated volume does entry 3 give?
Answer: 69.5 Å³/cell